Below is a geometry-optimized Rb2NaTlBi2 structure, with properties calculated at the GGA-PBE level.

Cell: 7.4317 17.3937 7.6012 Å, 90.00 90.00 90.00°
Last column: nearest neighbours and their distance in Å.
Space group Ibam (No. 72)
One atom of each set of equivalent atoms:
1 Rb 0.2453 0.1691 0.0000 [8 per cell]  5 Bi 3.77-3.99, 2 Na 3.95, 2 Tl 3.98
2 Na 0.0000 0.0000 0.2500 [4 per cell]  4 Bi 3.31
3 Tl 0.0000 0.5000 0.2500 [4 per cell]  4 Bi 3.13
4 Bi 0.2297 0.3957 0.0000 [8 per cell]  2 Tl 3.13, 2 Na 3.31

Computed properties:
For the spin magnetization, the calculation gives 0.00 μB per cell. The formation enthalpy at 0 K is -0.311 eV per atom.